1.
Computed, not measured: a relaxed DyHo3Sc7 crystal at the GGA-PBE level of DFT.

a b c (Å): 7.951 7.951 5.431
angles (deg): 109.89 109.89 82.04
Element x y z (fractional)
1 Dy 0.000 0.000 0.000
2 Ho 0.289 0.711 0.500
3 Ho 0.500 0.500 0.000
4 Ho 0.711 0.289 0.500
5 Sc 0.000 0.000 0.500
6 Sc 0.093 0.477 0.785
7 Sc 0.293 0.293 0.293
8 Sc 0.477 0.093 0.785
9 Sc 0.523 0.907 0.215
10 Sc 0.707 0.707 0.707
11 Sc 0.907 0.523 0.215

Properties
The density of states at the Fermi level comes out at 16.998 states/eV/cell. For the formation energy, the calculation gives 298.1 meV per atom.

---

2.
Computed, not measured: a relaxed DyHo8Sc5 crystal at the GGA-PBE level of DFT.

a b c (Å): 8.156 8.156 8.156
angles (deg): 111.19 111.19 106.09
Element x y z (fractional)
1 Dy 0.000 0.000 0.000
2 Ho 0.094 0.331 0.423
3 Ho 0.275 0.170 0.755
4 Ho 0.329 0.906 0.237
5 Ho 0.415 0.520 0.245
6 Ho 0.480 0.725 0.895
7 Ho 0.669 0.091 0.763
8 Ho 0.830 0.585 0.105
9 Ho 0.909 0.671 0.577
10 Sc 0.025 0.432 0.814
11 Sc 0.250 0.750 0.500
12 Sc 0.568 0.382 0.594
13 Sc 0.618 0.212 0.186
14 Sc 0.788 0.975 0.406

Properties
The density of states at the Fermi level comes out at 22.700 states/eV/cell. For the formation energy, the calculation gives 261.2 meV per atom.

---

3.
Computed, not measured: a relaxed Dy8Ho3Sc2 crystal at the GGA-PBE level of DFT.

a b c (Å): 10.433 10.433 5.552
angles (deg): 90.02 90.02 42.91
Element x y z (fractional)
1 Dy 0.098 0.679 0.000
2 Dy 0.176 0.176 0.501
3 Dy 0.321 0.902 0.000
4 Dy 0.365 0.365 0.500
5 Dy 0.635 0.635 0.500
6 Dy 0.679 0.098 0.000
7 Dy 0.824 0.824 0.499
8 Dy 0.902 0.321 0.000
9 Ho 0.213 0.787 0.500
10 Ho 0.500 0.500 0.000
11 Ho 0.787 0.213 0.500
12 Sc 0.259 0.259 0.001
13 Sc 0.741 0.741 0.999

Properties
The relative energy among the computed polymorphs is 3.1 meV/atom. The density of states at the Fermi level comes out at 18.479 states/eV/cell. For the formation energy, the calculation gives 234.0 meV per atom.

---

4.
Computed, not measured: a relaxed Dy2HoSc8 crystal at the GGA-PBE level of DFT.

a b c (Å): 9.119 9.119 5.492
angles (deg): 107.49 107.49 122.90
Element x y z (fractional)
1 Dy 0.191 0.809 0.000
2 Dy 0.809 0.191 0.000
3 Ho 0.500 0.500 0.500
4 Sc 0.002 0.002 0.244
5 Sc 0.148 0.403 0.776
6 Sc 0.298 0.702 0.500
7 Sc 0.403 0.148 0.776
8 Sc 0.597 0.852 0.224
9 Sc 0.702 0.298 0.500
10 Sc 0.852 0.597 0.224
11 Sc 0.998 0.998 0.756

Properties
The density of states at the Fermi level comes out at 17.449 states/eV/cell. For the formation energy, the calculation gives 140.3 meV per atom.

---

5.
Computed, not measured: a relaxed Dy3Ho2Sc3 crystal at the GGA-PBE level of DFT.

a b c (Å): 10.323 10.323 10.323
angles (deg): 153.14 152.54 38.79
Element x y z (fractional)
1 Dy 0.000 0.000 0.000
2 Dy 0.378 0.878 0.500
3 Dy 0.622 0.122 0.500
4 Ho 0.249 0.249 0.000
5 Ho 0.751 0.751 0.000
6 Sc 0.124 0.624 0.500
7 Sc 0.500 0.500 0.000
8 Sc 0.876 0.376 0.500

Properties
The relative energy among the computed polymorphs is 20.4 meV/atom. The density of states at the Fermi level comes out at 12.320 states/eV/cell. For the formation energy, the calculation gives 47.7 meV per atom.

---

6.
Computed, not measured: a relaxed Dy15Ho2Sc2 crystal at the GGA-PBE level of DFT.

a b c (Å): 8.621 8.621 8.621
angles (deg): 79.46 79.46 79.46
Element x y z (fractional)
1 Dy 0.000 0.000 0.500
2 Dy 0.000 0.295 0.705
3 Dy 0.000 0.500 0.000
4 Dy 0.000 0.705 0.295
5 Dy 0.147 0.630 0.630
6 Dy 0.295 0.000 0.705
7 Dy 0.295 0.705 0.000
8 Dy 0.370 0.370 0.853
9 Dy 0.370 0.853 0.370
10 Dy 0.500 0.000 0.000
11 Dy 0.630 0.147 0.630
12 Dy 0.630 0.630 0.147
13 Dy 0.705 0.000 0.295
14 Dy 0.705 0.295 0.000
15 Dy 0.853 0.370 0.370
16 Ho 0.319 0.319 0.319
17 Ho 0.681 0.681 0.681
18 Sc 0.091 0.091 0.091
19 Sc 0.909 0.909 0.909

Properties
The density of states at the Fermi level comes out at 33.113 states/eV/cell. For the formation energy, the calculation gives 294.4 meV per atom.

---

7.
Computed, not measured: a relaxed Dy2Ho5Sc3 crystal at the GGA-PBE level of DFT.

a b c (Å): 8.812 8.812 9.267
angles (deg): 106.60 106.60 105.94
Element x y z (fractional)
1 Dy 0.042 0.303 0.045
2 Dy 0.303 0.042 0.545
3 Dy 0.697 0.958 0.455
4 Dy 0.958 0.697 0.955
5 Ho 0.036 0.964 0.750
6 Ho 0.079 0.325 0.678
7 Ho 0.252 0.748 0.750
8 Ho 0.325 0.079 0.178
9 Ho 0.496 0.504 0.250
10 Ho 0.504 0.496 0.750
11 Ho 0.675 0.921 0.822
12 Ho 0.748 0.252 0.250
13 Ho 0.921 0.675 0.322
14 Ho 0.964 0.036 0.250
15 Sc 0.199 0.462 0.419
16 Sc 0.275 0.725 0.250
17 Sc 0.462 0.199 0.919
18 Sc 0.538 0.801 0.081
19 Sc 0.725 0.275 0.750
20 Sc 0.801 0.538 0.581

Properties
The density of states at the Fermi level comes out at 35.038 states/eV/cell. For the formation energy, the calculation gives 211.8 meV per atom.

---

8.
Computed, not measured: a relaxed Dy6Ho4Sc crystal at the GGA-PBE level of DFT.

a b c (Å): 9.623 9.623 9.623
angles (deg): 140.71 140.71 56.77
Element x y z (fractional)
1 Dy 0.000 0.500 0.500
2 Dy 0.014 0.643 0.000
3 Dy 0.357 0.357 0.371
4 Dy 0.500 0.000 0.500
5 Dy 0.643 0.014 0.000
6 Dy 0.986 0.986 0.629
7 Ho 0.188 0.188 0.641
8 Ho 0.453 0.812 0.000
9 Ho 0.547 0.547 0.359
10 Ho 0.812 0.453 0.000
11 Sc 0.000 0.000 0.000

Properties
The relative energy among the computed polymorphs is 161.0 meV/atom. The density of states at the Fermi level comes out at 13.352 states/eV/cell. For the formation energy, the calculation gives 298.5 meV per atom.

---

9.
Computed, not measured: a relaxed Dy2Ho12Sc crystal at the GGA-PBE level of DFT.

a b c (Å): 3.535 5.426 24.386
angles (deg): 90.00 90.61 90.00
Element x y z (fractional)
1 Dy 0.230 0.000 0.277
2 Dy 0.770 0.000 0.723
3 Ho 0.222 0.500 0.938
4 Ho 0.223 0.000 0.128
5 Ho 0.247 0.500 0.445
6 Ho 0.254 0.000 0.575
7 Ho 0.265 0.500 0.669
8 Ho 0.271 0.500 0.800
9 Ho 0.729 0.500 0.200
10 Ho 0.735 0.500 0.331
11 Ho 0.746 0.000 0.425
12 Ho 0.753 0.500 0.555
13 Ho 0.777 0.000 0.872
14 Ho 0.778 0.500 0.062
15 Sc 0.500 0.000 0.000

Properties
The density of states at the Fermi level comes out at 24.886 states/eV/cell. For the formation energy, the calculation gives 132.8 meV per atom.

---

10.
Computed, not measured: a relaxed Dy4HoSc crystal at the GGA-PBE level of DFT.

a b c (Å): 6.043 6.043 6.984
angles (deg): 106.72 106.72 48.24
Element x y z (fractional)
1 Dy 0.164 0.164 0.330
2 Dy 0.167 0.167 0.835
3 Dy 0.833 0.833 0.165
4 Dy 0.836 0.836 0.670
5 Ho 0.500 0.500 0.500
6 Sc 0.500 0.500 0.000

Properties
The density of states at the Fermi level comes out at 8.466 states/eV/cell. For the formation energy, the calculation gives 34.1 meV per atom.